Compound: BeAlTe3
Source: Alexandria via LeMat-Bulk
Functional: PBE
Structure: optimized geometry

Structure (POSCAR):
```
BeAlTe3
1.0
5.298 0.000 0.000
0.000 5.298 0.000
0.000 0.000 5.298
Te Al Be
3 1 1
direct
0.000 0.000 0.500
0.000 0.500 0.000
0.500 0.000 0.000
0.000 0.000 0.000
0.500 0.500 0.500
```



Compound: BeAl2Te2
Source: Alexandria via LeMat-Bulk
Functional: PBE
Structure: optimized geometry

Structure (POSCAR):
```
BeAl2Te2
1.0
-5.219 2.440 -5.033
3.689 -3.673 -5.605
-2.230 -3.315 0.705
Al Be Te
4 2 4
direct
0.881 0.381 0.500
0.619 0.881 0.500
0.119 0.619 0.500
0.381 0.119 0.500
0.000 0.000 0.000
0.500 0.500 0.000
0.288 0.788 0.000
0.712 0.212 0.000
0.212 0.288 0.000
0.788 0.712 0.000
```



Compound: Be2AlTe
Source: Alexandria via LeMat-Bulk
Functional: PBE
Structure: optimized geometry

Structure (POSCAR):
```
Be2AlTe
1.0
-0.667 1.960 3.386
-4.197 -0.211 -0.705
-1.463 -3.577 1.782
Al Te Be
1 1 2
direct
0.500 0.837 0.838
0.000 0.419 0.420
0.000 0.048 0.049
0.500 0.197 0.193
```



Compound: Be2AlTe
Source: Alexandria via LeMat-Bulk
Functional: PBE
Structure: optimized geometry

Structure (POSCAR):
```
Be2AlTe
1.0
4.563 0.000 0.000
2.281 3.951 0.000
2.281 1.317 3.725
Be Al Te
2 1 1
direct
0.250 0.250 0.250
0.000 0.000 0.000
0.500 0.500 0.500
0.750 0.750 0.750
```



Compound: Be3AlTe
Source: Alexandria via LeMat-Bulk
Functional: PBE
Structure: optimized geometry

Structure (POSCAR):
```
Be3AlTe
1.0
4.498 0.000 0.000
0.000 4.498 0.000
0.000 0.000 4.498
Be Al Te
3 1 1
direct
0.500 0.000 0.000
0.000 0.500 0.000
0.000 0.000 0.500
0.000 0.000 0.000
0.500 0.500 0.500
```



Compound: BeAl2Te
Source: Alexandria via LeMat-Bulk
Functional: PBE
Structure: optimized geometry

Structure (POSCAR):
```
BeAl2Te
1.0
0.000 3.369 3.369
3.369 0.000 3.369
3.369 3.369 0.000
Be Te Al
1 1 2
direct
0.000 0.000 0.000
0.500 0.500 0.500
0.250 0.250 0.250
0.750 0.750 0.750
```



no.,N(E_F) (states/eV/cell),offset from the most stable computed form (meV/atom)
1,5.76,387
2,5.63,0
3,1.06,166
4,2.76,610
5,3.58,0
6,1.81,488